DFT (GGA-PBE) results for crystalline Hf3NbGa at its relaxed geometry.

Calculated values
The energy above the most stable polymorph in this dataset comes out at 478 meV/atom. For the raw total energy, the calculation gives -7.77 eV per atom. The value obtained for the energy relative to the elements is 79.5 kJ per mole of atoms.

Cell and atoms, written as POSCAR:
```
Hf3NbGa
1.0
-2.4875 -3.5920 2.2552
2.9024 0.4648 3.9416
-3.0927 3.3252 1.8852
Hf Nb Ga
3 1 1
direct
0.0000 0.0000 0.5000
0.5000 0.0000 0.0000
0.0000 0.5000 0.0000
0.5000 0.5000 0.5000
0.0000 0.0000 0.0000
```